This record from the Open Quantum Materials Database describes PuBeAs after structural relaxation. The functional is GGA-PBE.

Summary:
**Raw total energy**: -0.5368 Ry per atom
**Space-group type**: F-43m
**Offset from the most stable computed form**: 477.7 meV per atom

a = 4.398 Å, b = 4.398 Å, c = 4.398 Å
α = 60.00°, β = 60.00°, γ = 60.00°
Site moments in Bohr magnetons follow the coordinates.
Sites, in units of the cell vectors:
1 Be 0.000 0.000 0.000  0.10
2 As 0.500 0.500 0.500  -0.08
3 Pu 0.250 0.250 0.250  4.96